Run a
Here is crystalline HfTi3Os at its relaxed geometry from the Alexandria database. Energies are from PBE.

Cell and atoms, written as CIF:
```
data_HfTi3Os
_chemical_formula_sum 'Hf1 Ti3 Os1'
_symmetry_space_group_name_H-M 'P 1'
_symmetry_Int_Tables_number 1
_symmetry_space_group_name_Hall 'P 1'
_cell_length_a 4.723
_cell_length_b 4.723
_cell_length_c 4.723
_cell_angle_alpha 90.00
_cell_angle_beta 90.00
_cell_angle_gamma 90.00
loop_
_atom_site_label
_atom_site_type_symbol
_atom_site_fract_x
_atom_site_fract_y
_atom_site_fract_z
Hf1 Hf 0.000 0.000 0.000
Ti1 Ti 0.000 0.500 0.500
Ti2 Ti 0.500 0.000 0.500
Ti3 Ti 0.500 0.500 0.000
Os1 Os 0.500 0.500 0.500
```

Run b
Here is crystalline HfTi3Os at its relaxed geometry from the Alexandria database. Energies are from PBE.

Cell and atoms, written as CIF:
```
data_HfTi3Os
_chemical_formula_sum 'Hf1 Ti3 Os1'
_symmetry_space_group_name_H-M 'P 1'
_symmetry_Int_Tables_number 1
_symmetry_space_group_name_Hall 'P 1'
_cell_length_a 4.627
_cell_length_b 4.627
_cell_length_c 4.627
_cell_angle_alpha 90.00
_cell_angle_beta 90.00
_cell_angle_gamma 90.00
loop_
_atom_site_label
_atom_site_type_symbol
_atom_site_fract_x
_atom_site_fract_y
_atom_site_fract_z
Hf1 Hf 0.000 0.000 0.000
Ti1 Ti 0.000 0.000 0.500
Ti2 Ti 0.000 0.500 0.000
Ti3 Ti 0.500 0.000 0.000
Os1 Os 0.500 0.500 0.500
```

The most stable arrangement is run a, and the next structure is 1177 meV/atom less stable.

Run a
Here is crystalline Hf3TiOs at its relaxed geometry from the Alexandria database. Energies are from PBE.

Cell and atoms, written as CIF:
```
data_Hf3TiOs
_chemical_formula_sum 'Hf3 Ti1 Os1'
_symmetry_space_group_name_H-M 'P 1'
_symmetry_Int_Tables_number 1
_symmetry_space_group_name_Hall 'P 1'
_cell_length_a 4.985
_cell_length_b 4.985
_cell_length_c 4.985
_cell_angle_alpha 90.00
_cell_angle_beta 90.00
_cell_angle_gamma 90.00
loop_
_atom_site_label
_atom_site_type_symbol
_atom_site_fract_x
_atom_site_fract_y
_atom_site_fract_z
Hf1 Hf 0.000 0.000 0.500
Hf2 Hf 0.000 0.500 0.000
Hf3 Hf 0.500 0.000 0.000
Ti1 Ti 0.500 0.500 0.500
Os1 Os 0.000 0.000 0.000
```

Run b
Here is crystalline Hf3TiOs at its relaxed geometry from the Alexandria database. Energies are from PBE.

Cell and atoms, written as CIF:
```
data_Hf3TiOs
_chemical_formula_sum 'Hf3 Ti1 Os1'
_symmetry_space_group_name_H-M 'P 1'
_symmetry_Int_Tables_number 1
_symmetry_space_group_name_Hall 'P 1'
_cell_length_a 4.731
_cell_length_b 4.731
_cell_length_c 4.731
_cell_angle_alpha 90.00
_cell_angle_beta 90.00
_cell_angle_gamma 90.00
loop_
_atom_site_label
_atom_site_type_symbol
_atom_site_fract_x
_atom_site_fract_y
_atom_site_fract_z
Hf1 Hf 0.000 0.000 0.500
Hf2 Hf 0.000 0.500 0.000
Hf3 Hf 0.500 0.000 0.000
Ti1 Ti 0.000 0.000 0.000
Os1 Os 0.500 0.500 0.500
```

The most stable arrangement is run a, and the next structure is 694 meV/atom less stable.